[1]
## Ca2CdCoSi (GGA-PBE)

Data for crystalline Ca2CdCoSi at its relaxed geometry.

The structure in POSCAR format:
```
Ca2CdCoSi
1.0
5.8135 0.0000 0.0000
0.0000 5.8135 0.0000
0.0000 0.0000 4.6617
Ca Cd Co Si
2 1 1 1
Cartesian
0.0000 2.9067 0.0000
2.9067 0.0000 0.0000
0.0000 0.0000 0.0000
2.9067 2.9067 2.3308
0.0000 0.0000 2.3308
```

Results
crystal system = tetragonal
energy relative to the elements, uncorrected = 3.94 eV/f.u.

---

[2]
## LiZrU2As4 (GGA-PBE)

Data for crystalline LiZrU2As4 at its relaxed geometry.

The structure in POSCAR format:
```
LiZrU2As4
1.0
6.6425 0.0000 0.0000
0.0000 3.9856 0.0000
-2.3793 0.0000 6.6967
Li Zr U As
1 1 2 4
Cartesian
0.0000 0.0000 0.0000
-1.1896 1.9928 3.3483
2.1316 0.0000 3.3483
3.3213 1.9928 0.0000
-0.1960 0.0000 5.0045
1.0161 1.9928 1.6576
3.2471 1.9928 5.0390
4.4593 0.0000 1.6921
```

Results
crystal system = monoclinic

---

[3]
## Ba5P3HO13 (GGA-PBE)

Data for crystalline Ba5P3HO13 at its relaxed geometry.

The structure in POSCAR format:
```
Ba5P3HO13
1.0
10.3735 0.0000 0.0000
-5.1867 8.9837 0.0000
0.0000 0.0000 7.8186
Ba P H O
10 6 2 26
Cartesian
-3.7398 6.7784 0.0000
1.1863 2.3557 0.0000
2.6333 0.1505 3.9093
0.0000 5.9891 1.9665
0.0000 5.9891 5.8708
5.1867 2.9946 1.9615
5.1867 2.9946 5.8758
2.5534 8.8332 0.0000
4.0004 6.6279 3.9093
8.9265 2.2053 3.9093
-2.9285 5.6836 3.8984
1.7288 3.6057 3.8984
3.9870 0.3056 7.8077
1.1997 8.6781 3.8984
3.4579 5.3780 7.8077
8.1153 3.3000 7.8077
0.0000 0.0000 2.4381
0.0000 0.0000 6.3474
0.0000 0.0000 3.4127
0.0000 0.0000 7.3220
-2.9994 6.6145 5.1514
-2.9104 6.5717 2.6166
-1.5846 4.8834 3.9442
-1.0489 4.2879 7.7951
0.9581 3.0788 5.1514
0.9506 3.1774 2.6166
-0.9488 7.7481 7.7951
3.1454 0.7096 1.2421
3.2270 0.7654 6.5259
-0.1653 7.9143 3.9442
1.7499 5.1697 3.9442
3.1890 3.0524 3.8858
1.9978 5.9313 7.7951
3.4368 3.8140 0.0349
5.3520 1.0694 0.0349
1.9597 8.2183 2.6166
2.0413 8.2740 5.1514
6.1356 1.2355 3.8858
4.2361 5.8063 6.5259
4.2286 5.9048 1.2421
6.2357 4.6958 3.8858
6.7714 4.1003 0.0349
8.0971 2.4120 6.5259
8.1862 2.3692 1.2421
```

Results
crystal system = hexagonal

---

[4]
## Sm5MgCd (GGA-PBE)

Data for crystalline Sm5MgCd at its relaxed geometry.

The structure in POSCAR format:
```
Sm5MgCd
1.0
6.3381 -5.8598 0.0000
6.3381 5.8598 0.0000
-1.8322 0.0000 5.8286
Sm Mg Cd
10 2 2
Cartesian
2.0162 0.9969 3.3473
4.2616 2.2854 0.9510
4.9639 3.0550 4.3714
2.9323 -0.9969 0.4330
7.4985 2.2854 1.9633
3.3455 -2.2854 3.8653
7.9116 0.9969 5.3956
5.8800 -3.0550 1.4571
6.5823 -2.2854 4.8775
8.8277 -0.9969 2.4813
5.8800 5.1580 1.4571
4.9639 -5.1580 4.3714
6.3381 0.0000 0.0000
5.4220 0.0000 2.9143
```

Results
crystal system = monoclinic

---

[5]
## Zr2VRe3 (GGA-PBE)

Data for crystalline Zr2VRe3 at its relaxed geometry.

The structure in POSCAR format:
```
Zr2VRe3
1.0
2.6519 1.5311 4.2710
-2.6519 1.5311 4.2710
0.0000 -3.0621 4.2710
Zr V Re
2 1 3
Cartesian
0.0000 0.0000 1.5914
0.0000 0.0000 11.2218
0.0000 0.0000 6.4066
-1.3259 -0.7655 4.2710
-1.3259 0.7655 8.5421
0.0000 1.5311 4.2710
```

Results
crystal system = trigonal

---

[6]
## CaEr3Tl2 (GGA-PBE)

Data for crystalline CaEr3Tl2 at its relaxed geometry.

The structure in POSCAR format:
```
CaEr3Tl2
1.0
8.1048 -2.7143 0.0000
8.1048 2.7143 0.0000
-4.3421 0.0000 8.1590
Ca Er Tl
2 6 4
Cartesian
1.3900 0.0000 1.4869
10.4775 0.0000 6.6721
-2.1249 0.0000 5.8026
4.9623 0.0000 0.1031
4.2469 0.0000 3.7874
7.6206 0.0000 4.3716
6.9051 0.0000 8.0559
13.9924 0.0000 2.3564
1.0068 0.0000 4.9780
4.1569 0.0000 6.7341
7.7106 0.0000 1.4248
10.8606 0.0000 3.1810
```

Results
crystal system = monoclinic

---

[7]
## LaSm3Pt (GGA-PBE)

Data for crystalline LaSm3Pt at its relaxed geometry.

The structure in POSCAR format:
```
LaSm3Pt
1.0
7.7940 0.0000 0.0000
-3.8970 6.7498 0.0000
0.0000 0.0000 6.2526
La Sm Pt
2 6 2
Cartesian
0.0000 4.4999 1.5632
3.8970 2.2499 4.6895
0.0000 2.4148 4.6895
-1.8057 5.5424 4.6895
2.0913 1.2074 1.5632
1.8057 5.5424 4.6895
5.7027 1.2074 1.5632
3.8970 4.3350 1.5632
0.0000 0.0000 0.0000
0.0000 0.0000 3.1263
```

Results
crystal system = hexagonal

---

[8]
## KLiCu2 (GGA-PBE)

Data for crystalline KLiCu2 at its relaxed geometry.

The structure in POSCAR format:
```
KLiCu2
1.0
-1.4396 2.7568 5.3590
1.4396 -2.7568 5.3590
1.4396 2.7568 -5.3590
K Li Cu
1 1 2
Cartesian
0.0000 0.0000 0.0000
0.0000 2.7568 2.0272
1.4396 0.0000 3.0851
0.0000 0.0000 5.0560
```

Results
crystal system = orthorhombic

---

| no. | E (eV per atom) |
| --- | --- |
| 1 | -2.702 |
| 2 | -7.211 |
| 3 | -7.025 |
| 4 | -3.725 |
| 5 | -10.979 |
| 6 | -3.549 |
| 7 | -5.375 |
| 8 | -2.446 |